[1]
SrCa2TcN4 | PBE-GGA | relaxed

Unit cell a=5.6091 b=6.5559 c=7.7412 alpha=90.00 beta=90.00 gamma=90.00
Each line ends with the local moment (μB).
Atoms (fractional coordinates):
N (0.4454, 0.1017, 0.5000)  0.03
N (0.9454, 0.8983, 0.0000)  0.03
N (0.3994, 0.6868, 0.7019)  0.01
Ca (0.9761, 0.6685, 0.2437)  0.03
N (0.8994, 0.3132, 0.7981)  0.01
Ca (0.9761, 0.6685, 0.7563)  0.03
N (0.3994, 0.6868, 0.2981)  0.01
Tc (0.5029, 0.8162, 0.5000)  0.58
Ca (0.4761, 0.3315, 0.7437)  0.03
N (0.8330, 0.7906, 0.5000)  0.03
Ca (0.4761, 0.3315, 0.2563)  0.03
Sr (0.4676, 0.8564, 0.0000)  0.03
Tc (0.0029, 0.1838, 0.0000)  0.58
Sr (0.9676, 0.1436, 0.5000)  0.03
N (0.8994, 0.3132, 0.2019)  0.01
N (0.3330, 0.2094, 0.0000)  0.03

Final energy in eV/atom: -6.89



[2]
MnFeIr2 | PBE-GGA | relaxed

Unit cell a=4.6408 b=4.6408 c=4.6408 alpha=132.85 beta=132.85 gamma=68.90
Each line ends with the local moment (μB).
Atoms (fractional coordinates):
Ir (0.2500, 0.7500, 0.5000)  -0.20
Fe (0.7500, 0.2500, 0.5000)  2.10
Ir (0.0000, 0.0000, 0.0000)  -0.11
Mn (0.5000, 0.5000, 0.0000)  2.40

Energy of formation in eV/atom: -0.082